Record 1
CsLiThTe3 | GGA-PBE | optimized geometry

Cell lengths 4.622, 16.653, 11.998 Å; angles 90.00, 90.00, 90.00 degrees
Space group Cmcm (No. 63)
Asymmetric unit:
Cs 0.000 0.242 0.250 (multiplicity 4)
Li 0.000 0.037 0.750 (multiplicity 4)
Th 0.000 0.500 0.000 (multiplicity 4)
Te 0.000 0.123 0.552 (multiplicity 8)
Te 0.000 0.445 0.750 (multiplicity 4)



Record 2
MgCoPdPb | GGA-PBE | optimized geometry

Cell lengths 6.461, 6.461, 6.461 Å; angles 90.00, 90.00, 90.00 degrees
Space group F-43m (No. 216)
Asymmetric unit:
Mg 0.000 0.000 0.000 (multiplicity 4)
Co 0.250 0.250 0.750 (multiplicity 4)
Pd 0.250 0.250 0.250 (multiplicity 4)
Pb 0.000 0.000 0.500 (multiplicity 4)

Results
For the excess energy over the best structure of this formula in the dataset, the calculation gives 0.000 eV per formula unit.



Record 3
MgZn2GePd4 | GGA-PBE | optimized geometry

Cell lengths 4.392, 4.392, 6.259 Å; angles 90.00, 90.00, 90.00 degrees
Space group P4/mmm (No. 123)
Asymmetric unit:
Mg 0.000 0.000 0.000 (multiplicity 1)
Zn 0.000 0.000 0.500 (multiplicity 1)
Zn 0.500 0.500 0.000 (multiplicity 1)
Ge 0.500 0.500 0.500 (multiplicity 1)
Pd 0.000 0.500 0.260 (multiplicity 4)



Record 4
GdTmGa2Ir4 | GGA-PBE | optimized geometry

Cell lengths 4.3292, 4.3292, 9.0377 Å; angles 90.00, 90.00, 120.00 degrees
Space group P-6m2 (No. 187)
Asymmetric unit:
Gd 0.0000 0.0000 0.0000 (multiplicity 1)
Tm 0.3333 0.6667 0.5000 (multiplicity 1)
Ga 0.6667 0.3333 0.2547 (multiplicity 2)
Ir 0.0000 0.0000 0.3410 (multiplicity 2)
Ir 0.3333 0.6667 0.1762 (multiplicity 2)

Results
For the excess energy over the best structure of this formula in the dataset, the calculation gives 0.000 eV per formula unit.



Record 5
NaDyZnO3 | GGA-PBE | optimized geometry

Cell lengths 3.459, 10.539, 9.184 Å; angles 90.00, 90.00, 90.00 degrees
Space group Cmcm (No. 63)
Asymmetric unit:
Na 0.000 0.221 0.250 (multiplicity 4)
Dy 0.000 0.500 0.000 (multiplicity 4)
Zn 0.000 0.056 0.750 (multiplicity 4)
O 0.000 0.129 0.562 (multiplicity 8)
O 0.000 0.443 0.750 (multiplicity 4)



Record 6
K2NaZnI6 | GGA-PBE | optimized geometry

Cell lengths 8.027, 8.027, 12.352 Å; angles 90.00, 90.00, 90.00 degrees
Space group I4/m (No. 87)
Asymmetric unit:
K 0.000 0.500 0.250 (multiplicity 4)
Na 0.000 0.000 0.000 (multiplicity 2)
Zn 0.000 0.000 0.500 (multiplicity 2)
I 0.000 0.000 0.262 (multiplicity 4)
I 0.157 0.685 0.500 (multiplicity 8)



Record 7
TaZnNiAu | GGA-PBE | optimized geometry

Cell lengths 6.229, 6.229, 6.229 Å; angles 90.00, 90.00, 90.00 degrees
Space group F-43m (No. 216)
Asymmetric unit:
Ta 0.000 0.000 0.000 (multiplicity 4)
Zn 0.250 0.250 0.250 (multiplicity 4)
Ni 0.000 0.000 0.500 (multiplicity 4)
Au 0.250 0.250 0.750 (multiplicity 4)

Results
The formation energy is 0.09 eV/f.u.



Record 8
CdGeTeO | GGA-PBE | optimized geometry

Cell lengths 5.977, 9.359, 13.375 Å; angles 90.00, 90.00, 90.00 degrees
Space group Pbca (No. 61)
Asymmetric unit:
Cd 0.249 0.107 0.042 (multiplicity 8)
Ge 0.250 0.007 0.728 (multiplicity 8)
Te 0.250 0.140 0.416 (multiplicity 8)
O 0.000 0.118 0.750 (multiplicity 8)

Results
For the excess energy over the best structure of this formula in the dataset, the calculation gives 0.018 eV per formula unit.



What are the energy values for these records? In order: -4.503, -4.431, -4.234, -6.904, -5.815, -2.275, -5.466, -4.018 eV per atom.